<1>
{
  "formula": "TaTiAl2H",
  "functional": "PBE",
  "state": "relaxed",
  "sg": "No. 123",
  "total_magnetization_mub_per_fu": 0.00,
  "lattice_angstrom": [[4.093, 0.000, 0.000], [0.000, 4.093, 0.000], [0.000, 0.000, 3.995]],
  "species": ["Ta", "Ti", "Al", "Al", "H"],
  "fractional_positions": [[0.000, 0.000, 0.000], [0.500, 0.500, 0.000], [0.000, 0.500, 0.500], [0.500, 0.000, 0.500], [0.500, 0.500, 0.500]]
}


<2>
{
  "formula": "TaTiAl2H",
  "functional": "PBE",
  "state": "relaxed",
  "sg": "No. 123",
  "total_magnetization_mub_per_fu": 0.00,
  "lattice_angstrom": [[4.087, 0.000, 0.000], [0.000, 4.087, 0.000], [0.000, 0.000, 4.052]],
  "species": ["Ta", "Ti", "Al", "Al", "H"],
  "fractional_positions": [[0.000, 0.000, 0.000], [0.500, 0.500, 0.000], [0.000, 0.500, 0.500], [0.500, 0.000, 0.500], [0.000, 0.000, 0.500]]
}


Energy ordering: <1> at the bottom, the next structure 49 meV/atom above.